[1]
YTc2Ir: optimized geometry, PBE-GGA.

N(E_F): 1.58 states/eV/atom
Space-group type: P4/mmm (123)
Calculated formation energy: 0.28 eV/atom
DFT total energy: -34.92 eV per formula unit
Calculated density: 11.7 g/cm³

```
YTc2Ir
1.0
4.614 0.000 0.000
0.000 4.614 0.000
0.000 0.000 3.176
Y Tc Ir
1 2 1
direct
0.000 0.000 0.000 Y
0.000 0.500 0.500 Tc
0.500 0.000 0.500 Tc
0.500 0.500 0.000 Ir
```

***

[2]
YTc2Ir: optimized geometry, PBE-GGA.

N(E_F): 0.93 states/eV/atom
Space-group type: Cm (8)
Calculated formation energy: 0.11 eV/atom
DFT total energy: -35.62 eV per formula unit
Calculated density: 11.2 g/cm³

```
YTc2Ir
1.0
9.268 0.000 0.000
0.000 2.925 0.000
-1.016 0.000 5.222
Y Tc Ir
2 4 2
direct
0.000 0.000 0.000 Y
0.500 0.500 0.000 Y
0.230 0.000 0.654 Tc
0.494 0.000 0.506 Tc
0.730 0.500 0.654 Tc
0.994 0.500 0.506 Tc
0.258 0.500 0.255 Ir
0.758 0.000 0.255 Ir
```

***

[3]
YTc2Ir: optimized geometry, PBE-GGA.

N(E_F): 0.97 states/eV/atom
Space-group type: I-42d (122)
Calculated formation energy: 0.41 eV/atom
DFT total energy: -34.42 eV per formula unit
Calculated density: 10.2 g/cm³

```
YTc2Ir
1.0
7.629 0.000 0.000
0.000 7.629 0.000
0.000 0.000 5.321
Y Tc Ir
4 8 4
direct
0.000 0.000 0.000 Y
0.000 0.500 0.250 Y
0.500 0.000 0.750 Y
0.500 0.500 0.500 Y
0.198 0.250 0.625 Tc
0.250 0.698 0.875 Tc
0.250 0.802 0.375 Tc
0.302 0.250 0.125 Tc
0.698 0.750 0.125 Tc
0.750 0.198 0.375 Tc
0.750 0.302 0.875 Tc
0.802 0.750 0.625 Tc
0.000 0.000 0.500 Ir
0.000 0.500 0.750 Ir
0.500 0.000 0.250 Ir
0.500 0.500 0.000 Ir
```